A relaxed Sr3LiPm2S6 crystal, computed with PBE.

Unit cell a=7.145 b=7.145 c=7.185 alpha=99.52 beta=99.52 gamma=119.99
Fractional positions:
Sr1 0.165 0.835 0.500
Sr2 0.835 0.165 0.500
Pm1 0.667 0.333 0.000
S1 0.078 0.413 0.234
S2 0.257 0.257 0.767
S3 0.413 0.078 0.234
Pm2 0.333 0.667 0.000
S4 0.922 0.587 0.766
S5 0.587 0.922 0.766
Sr3 0.500 0.500 0.500
S6 0.743 0.743 0.233
Li1 0.000 0.000 0.000

Results
The calculation puts the mass density at 4.17 Mg/m³. The calculation puts the density of states at the Fermi level at 3.5 states/eV per cell. Its symmetry is C2/m.



A relaxed SrMg2Tc crystal, computed with PBE.

Unit cell a=5.318 b=5.318 c=6.022 alpha=82.31 beta=82.31 gamma=32.96
Fractional positions:
Sr1 0.250 0.250 0.250
Mg1 0.020 0.020 0.943
Mg2 0.480 0.480 0.557
Tc1 0.750 0.750 0.750

Results
The calculation puts the mass density at 4.24 Mg/m³. The calculation puts the density of states at the Fermi level at 3.4 states/eV per cell. The calculation puts the formation energy at 0.47 eV/atom. Its symmetry is C2/m. The excess energy over the best structure of this formula in the dataset is 10.3 kJ per mole of atoms.



A relaxed TlTc2SbO8 crystal, computed with PBE.

Unit cell a=5.395 b=5.395 c=9.414 alpha=73.35 beta=73.35 gamma=60.00
Fractional positions:
Tc1 0.755 0.755 0.736
O1 0.517 0.251 0.337
O2 0.251 0.895 0.337
O3 0.749 0.483 0.663
O4 0.105 0.749 0.663
Sb1 0.500 0.500 0.500
Tc2 0.245 0.245 0.264
O5 0.483 0.105 0.663
O6 0.689 0.689 0.933
Tl1 0.000 0.000 0.000
O7 0.895 0.517 0.337
O8 0.311 0.311 0.067

Results
The calculation puts the mass density at 4.82 Mg/m³. The calculation puts the density of states at the Fermi level at 5.6 states/eV per cell. Its symmetry is R32.



A relaxed Ti2P4H9C2NO16 crystal, computed with PBE.

Unit cell a=6.418 b=10.909 c=21.016 alpha=104.60 beta=90.00 gamma=90.00
Fractional positions:
H1 0.030 0.357 0.426
O1 0.805 0.244 0.244
H2 0.595 0.781 0.978
Ti1 0.534 0.896 0.607
H3 0.749 0.158 0.982
O2 0.032 0.947 0.825
O3 0.517 0.496 0.792
Ti2 0.966 0.396 0.107
C1 0.211 0.539 0.521
O4 0.839 0.918 0.599
N1 0.038 0.633 0.526
O5 0.065 0.758 0.871
P1 0.815 0.161 0.170
H4 0.758 0.901 0.402
O6 0.535 0.998 0.695
O7 0.526 0.811 0.511
P2 0.530 0.115 0.754
H5 0.742 0.401 0.902
H6 0.209 0.032 0.974
N2 0.962 0.367 0.474
H7 0.405 0.219 0.022
H8 0.249 0.342 0.518
O8 0.226 0.882 0.609
P3 0.315 0.339 0.330
H9 0.291 0.532 0.474
P4 0.073 0.321 0.946
O9 0.026 0.689 0.989
O10 0.393 0.879 0.860
P5 0.030 0.385 0.746
O11 0.465 0.002 0.305
H10 0.791 0.968 0.026
O12 0.274 0.382 0.109
H11 0.698 0.310 0.254
O13 0.910 0.900 0.388
O14 0.530 0.236 0.729
P6 0.927 0.679 0.054
P7 0.185 0.839 0.830
H12 0.470 0.857 0.926
O15 0.516 0.934 0.423
O16 0.970 0.736 0.229
O17 0.661 0.418 0.099
O18 0.474 0.189 0.489
C2 0.876 0.587 0.474
H13 0.819 0.924 0.939
O19 0.532 0.553 0.675
P8 0.970 0.615 0.254
O20 0.968 0.053 0.175
H14 0.947 0.579 0.426
P9 0.427 0.821 0.446
Ti3 0.027 0.108 0.800
O21 0.531 0.303 0.607
O22 0.813 0.165 0.538
C3 0.289 0.039 0.021
C4 0.124 0.413 0.526
O23 0.187 0.835 0.462
O24 0.778 0.612 0.298
N3 0.462 0.133 0.026
O25 0.016 0.566 0.077
H15 0.802 0.810 0.754
O26 0.161 0.082 0.401
H16 0.242 0.099 0.598
H17 0.530 0.143 0.074
P10 0.459 0.471 0.134
H18 0.251 0.842 0.018
H19 0.681 0.424 0.439
H20 0.751 0.658 0.482
O27 0.470 0.764 0.271
O28 0.483 0.504 0.208
O29 0.195 0.756 0.756
H21 0.553 0.079 0.926
O30 0.774 0.118 0.391
O31 0.035 0.502 0.805
O32 0.969 0.803 0.107
O33 0.974 0.311 0.011
H22 0.586 0.643 0.071
P11 0.470 0.885 0.246
O34 0.667 0.889 0.205
O35 0.726 0.618 0.891
O36 0.222 0.388 0.702
O37 0.983 0.996 0.292
O38 0.313 0.335 0.962
O39 0.893 0.621 0.640
O40 0.278 0.888 0.202
O41 0.469 0.697 0.393
Ti4 0.527 0.392 0.700
O42 0.590 0.400 0.888
H23 0.198 0.190 0.246
O43 0.305 0.256 0.256
O44 0.435 0.258 0.371
O45 0.935 0.242 0.129
O46 0.167 0.611 0.295
O47 0.833 0.389 0.705
O48 0.030 0.264 0.771
H24 0.258 0.599 0.098
H25 0.053 0.421 0.574
Ti5 0.466 0.104 0.393
P12 0.959 0.029 0.366
O49 0.722 0.112 0.798
O50 0.484 0.066 0.577
H26 0.302 0.690 0.746
N4 0.538 0.867 0.974
P13 0.573 0.179 0.554
H27 0.095 0.719 0.522
O51 0.339 0.582 0.901
H28 0.086 0.857 0.429
O52 0.017 0.004 0.708
C5 0.711 0.961 0.979
O53 0.695 0.744 0.744
O54 0.565 0.742 0.629
O55 0.107 0.379 0.360
O56 0.687 0.665 0.038
H29 0.414 0.357 0.929
Ti6 0.973 0.892 0.200
C6 0.624 0.087 0.974
C7 0.789 0.461 0.479
C8 0.376 0.913 0.026
O57 0.333 0.111 0.795
H30 0.914 0.143 0.571
O58 0.410 0.600 0.112
O59 0.031 0.197 0.893
H31 0.905 0.281 0.478
H32 0.709 0.468 0.526
O60 0.984 0.434 0.923
O61 0.090 0.100 0.612
Ti7 0.473 0.608 0.300
H33 0.181 0.076 0.061
P14 0.541 0.529 0.866
O62 0.468 0.447 0.325
H34 0.319 0.576 0.561
O63 0.965 0.498 0.195
P15 0.685 0.661 0.670
Ti8 0.034 0.604 0.893
P16 0.041 0.971 0.634
H35 0.447 0.921 0.074
O64 0.607 0.121 0.140
H36 0.970 0.643 0.574

Results
The calculation puts the mass density at 2.44 Mg/m³. The calculation puts the density of states at the Fermi level at 0.0 states/eV per cell. Its symmetry is P2_1/c.



A relaxed NaBe2Sn crystal, computed with PBE.

Unit cell a=4.612 b=4.612 c=8.888 alpha=74.96 beta=74.96 gamma=90.00
Fractional positions:
Na1 0.250 0.750 0.500
Be1 0.375 0.125 0.750
Sn1 0.000 0.000 0.000
Na2 0.500 0.500 0.000
Sn2 0.750 0.250 0.500
Be2 0.875 0.125 0.250
Be3 0.875 0.625 0.250
Be4 0.875 0.125 0.750

Results
The calculation puts the mass density at 3.02 Mg/m³. The calculation puts the density of states at the Fermi level at 4.0 states/eV per cell. The calculation puts the formation energy at 0.52 eV/atom. Its symmetry is I4_1/amd.



A relaxed NdHoTh3 crystal, computed with PBE.

Unit cell a=5.998 b=11.879 c=8.318 alpha=135.57 beta=111.14 gamma=90.00
Fractional positions:
Th1 0.669 0.669 0.837
Nd1 0.500 0.000 0.000
Th2 0.000 0.000 0.500
Ho1 0.696 0.750 0.500
Th3 0.331 0.331 0.163
Ho2 0.304 0.250 0.500
Th4 0.669 0.169 0.837
Th5 0.331 0.831 0.163
Nd2 0.000 0.500 0.000
Th6 0.000 0.500 0.500

Results
The calculation puts the mass density at 9.39 Mg/m³. The calculation puts the density of states at the Fermi level at 19.0 states/eV per cell. The calculation puts the formation energy at 0.38 eV/atom. Its symmetry is Imma.



A relaxed SiCN3 crystal, computed with PBE.

Unit cell a=3.302 b=3.302 c=3.302 alpha=90.00 beta=90.00 gamma=90.00
Fractional positions:
C1 0.000 0.000 0.000
N1 0.000 0.000 0.500
Si1 0.500 0.500 0.500
N2 0.500 0.000 0.000
N3 0.000 0.500 0.000

Results
The calculation puts the mass density at 3.79 Mg/m³. The calculation puts the density of states at the Fermi level at 1.8 states/eV per cell. Its symmetry is Pm-3m.



A relaxed Pa2CrSi3 crystal, computed with PBE.

Unit cell a=5.640 b=5.640 c=7.970 alpha=109.39 beta=109.39 gamma=93.54
Fractional positions:
Pa1 0.750 0.250 0.500
Si1 0.169 0.169 0.339
Pa2 0.264 0.264 0.000
Cr1 0.337 0.337 0.674
Si2 0.331 0.838 0.169
Pa3 0.250 0.750 0.500
Pa4 0.736 0.736 0.000
Cr2 0.663 0.663 0.326
Si3 0.669 0.162 0.831
Si4 0.831 0.831 0.661
Si5 0.162 0.669 0.831
Si6 0.838 0.331 0.169

Results
The calculation puts the mass density at 8.98 Mg/m³. The calculation puts the density of states at the Fermi level at 12.1 states/eV per cell. Its symmetry is Fmmm.



A relaxed NaSrY2 crystal, computed with PBE.

Unit cell a=5.907 b=5.907 c=5.907 alpha=60.00 beta=60.00 gamma=60.00
Fractional positions:
Y1 0.750 0.750 0.750
Sr1 0.500 0.500 0.500
Y2 0.250 0.250 0.250
Na1 0.000 0.000 0.000

Results
The calculation puts the mass density at 3.29 Mg/m³. The calculation puts the density of states at the Fermi level at 5.9 states/eV per cell. The calculation puts the formation energy at 0.40 eV/atom. Its symmetry is Fm-3m. The excess energy over the best structure of this formula in the dataset is 0.0 kJ per mole of atoms.



A relaxed K2Zn crystal, computed with PBE.

Unit cell a=15.513 b=15.513 c=4.698 alpha=90.00 beta=90.00 gamma=163.92
Fractional positions:
K1 0.429 0.571 0.250
Zn1 0.016 0.984 0.250
K2 0.305 0.695 0.750
K3 0.695 0.305 0.250
K4 0.571 0.429 0.750
Zn2 0.984 0.016 0.750

Results
The calculation puts the mass density at 1.52 Mg/m³. The calculation puts the density of states at the Fermi level at 3.2 states/eV per cell. The calculation puts the formation energy at 0.08 eV/atom. Its symmetry is Cmcm. The excess energy over the best structure of this formula in the dataset is 0.0 kJ per mole of atoms.



A relaxed HfAgHgF6 crystal, computed with PBE.

Unit cell a=6.309 b=6.309 c=9.097 alpha=90.00 beta=90.00 gamma=120.00
Fractional positions:
Ag1 0.000 0.000 0.500
Hf1 0.667 0.333 0.250
F1 0.315 0.394 0.875
F2 0.315 0.921 0.625
Ag2 0.000 0.000 0.000
F3 0.921 0.315 0.125
F4 0.394 0.079 0.125
F5 0.921 0.606 0.375
Hf2 0.333 0.667 0.750
F6 0.685 0.079 0.375
F7 0.606 0.685 0.625
Hg1 0.333 0.667 0.250
Hg2 0.667 0.333 0.750
F8 0.606 0.921 0.875
F9 0.394 0.315 0.375
F10 0.079 0.394 0.625
F11 0.685 0.606 0.125
F12 0.079 0.685 0.875

Results
The calculation puts the mass density at 6.36 Mg/m³. The calculation puts the density of states at the Fermi level at 6.1 states/eV per cell. Its symmetry is P-31c.



A relaxed BaTaTl2 crystal, computed with PBE.

Unit cell a=5.868 b=7.910 c=3.266 alpha=65.20 beta=90.25 gamma=123.87
Fractional positions:
Tl1 0.000 0.000 0.000
Ba1 0.500 0.500 0.000
Tl2 0.000 0.500 0.500
Ta1 0.500 0.000 0.500

Results
The calculation puts the mass density at 11.09 Mg/m³. The calculation puts the density of states at the Fermi level at 3.6 states/eV per cell. The calculation puts the formation energy at 0.63 eV/atom. Its symmetry is C2/m.



We obtain VASP energy values of -5.419, -3.341, -6.759, -6.807, -2.677, -5.946, -5.619, -7.939, -3.585, -1.073, -5.196, -3.999 eV per atom for the records listed above, in that order.